Entry 1:
LaZrCr2: relaxed, PBE.

Calculated values
E above lowest polymorph in kJ per mole of atoms: 46.36

```
LaZrCr2
1.0
-1.651 2.542 4.342
1.651 -2.542 4.342
1.651 2.542 -4.342
La Zr Cr
1 1 2
Cartesian
0.000 0.000 0.000
0.000 0.000 4.342
1.651 0.000 2.143
0.000 2.542 2.198
```

Entry 2:
LaZrCr2: relaxed, PBE.

Calculated values
E above lowest polymorph in kJ per mole of atoms: 16.67

```
LaZrCr2
1.0
0.000 3.488 3.488
3.488 0.000 3.488
3.488 3.488 0.000
La Zr Cr
1 1 2
Cartesian
0.000 0.000 0.000
3.488 3.488 3.488
1.744 1.744 1.744
5.232 5.232 5.232
```

Entry 3:
LaZrCr2: relaxed, PBE.

Calculated values
E above lowest polymorph in kJ per mole of atoms: 25.52

```
LaZrCr2
1.0
0.000 3.446 3.446
3.446 0.000 3.446
3.446 3.446 0.000
La Zr Cr
1 1 2
Cartesian
0.000 0.000 0.000
1.723 1.723 1.723
3.446 3.446 3.446
5.169 5.169 5.169
```

Entry 4:
LaZrCr2: relaxed, PBE.

Calculated values
E above lowest polymorph in kJ per mole of atoms: 28.50

```
LaZrCr2
1.0
-2.131 2.131 4.739
2.131 -2.131 4.739
2.131 2.131 -4.739
La Zr Cr
1 1 2
Cartesian
0.000 0.000 0.000
2.131 0.000 2.370
0.000 0.000 4.739
0.000 2.131 2.370
```